[1]
Pm6SmCd5 | Alexandria via LeMat-Bulk | GGA-PBE | relaxed; symmetry = Immm; calculated total energy = -3.37 eV per atom; energy relative to the elements = -0.222 eV per atom; total moment = 0.02 μB/f.u.
1.0
-2.7052 3.9219 8.1919
2.7052 -3.9219 8.1919
2.7052 3.9219 -8.1919
Pm Sm Cd
6 1 5
Direct
0.0714 0.3286 0.7428
0.2301 0.0000 0.2301
0.4142 0.6714 0.7428
0.5858 0.3286 0.2572
0.7699 0.0000 0.7699
0.9286 0.6714 0.2572
0.5000 0.5000 0.0000
0.0000 0.5000 0.5000
0.1692 0.1692 0.0000
0.3447 0.8447 0.5000
0.6553 0.1553 0.5000
0.8308 0.8308 0.0000

[2]
Pm3Al2Fe3C | Alexandria via LeMat-Bulk | GGA-PBE | relaxed; symmetry = P-62m; calculated total energy = -6.10 eV per atom; energy relative to the elements = 0.159 eV per atom; total moment = 7.01 μB/f.u.
1.0
6.9386 0.0000 0.0000
-3.4693 6.0090 0.0000
0.0000 0.0000 4.2192
Pm Al Fe C
3 2 3 1
Direct
0.0000 0.6403 0.0000
0.3597 0.3597 0.0000
0.6403 0.0000 0.0000
0.3333 0.6667 0.5000
0.6667 0.3333 0.5000
0.0000 0.1997 0.5000
0.1997 0.0000 0.5000
0.8003 0.8003 0.5000
0.0000 0.0000 0.0000

[3]
AcTaSn2 | Alexandria via LeMat-Bulk | GGA-PBE | relaxed; symmetry = R-3m; calculated total energy = -5.65 eV per atom; energy relative to the elements = 0.342 eV per atom; total moment = 0.00 μB/f.u.
1.0
3.3346 0.0000 0.0000
-1.6673 2.8878 0.0000
0.0000 0.0000 34.6096
Ac Ta Sn
3 3 6
Direct
0.0000 0.0000 0.0000
0.3333 0.6667 0.6667
0.6667 0.3333 0.3333
0.0000 0.0000 0.5000
0.3333 0.6667 0.1667
0.6667 0.3333 0.8333
0.0000 0.0000 0.0992
0.0000 0.0000 0.9008
0.3333 0.6667 0.5675
0.3333 0.6667 0.7658
0.6667 0.3333 0.2342
0.6667 0.3333 0.4325

[4]
Co3BW | Alexandria via LeMat-Bulk | GGA-PBE | relaxed; symmetry = Pm-3m; calculated total energy = -5.82 eV per atom; energy relative to the elements = 2.371 eV per atom; relative energy among the computed polymorphs = 2.1817 eV/atom; total moment = 1.74 μB/f.u.
1.0
4.4414 0.0000 0.0000
0.0000 4.4414 0.0000
0.0000 0.0000 4.4414
Co B W
3 1 1
Direct
0.0000 0.0000 0.5000
0.0000 0.5000 0.0000
0.5000 0.0000 0.0000
0.5000 0.5000 0.5000
0.0000 0.0000 0.0000

[5]
PrHoGa3 | Alexandria via LeMat-Bulk | GGA-PBE | relaxed; symmetry = Cmcm; calculated total energy = -4.35 eV per atom; energy relative to the elements = -0.663 eV per atom; total moment = 0.00 μB/f.u.
1.0
2.1578 -12.8673 0.0000
2.1578 12.8673 0.0000
0.0000 0.0000 4.2180
Pr Ho Ga
2 2 6
Direct
0.0740 0.9260 0.7500
0.9260 0.0740 0.2500
0.2038 0.7962 0.2500
0.7962 0.2038 0.7500
0.3219 0.6781 0.2500
0.3787 0.6213 0.7500
0.4757 0.5243 0.7500
0.5243 0.4757 0.2500
0.6213 0.3787 0.2500
0.6781 0.3219 0.7500

[6]
CuSbI2N | Alexandria via LeMat-Bulk | GGA-PBE | relaxed; symmetry = P4/mmm; calculated total energy = -2.80 eV per atom; relative energy among the computed polymorphs = 0.3621 eV/atom; formation energy (no corrections) = 1126 meV/atom; total moment = 0.00 μB/f.u.
1.0
4.8622 0.0000 0.0000
0.0000 4.8622 0.0000
0.0000 0.0000 4.9276
Cu Sb I N
1 1 2 1
Direct
0.0000 0.0000 0.0000
0.5000 0.5000 0.0000
0.0000 0.5000 0.5000
0.5000 0.0000 0.5000
0.5000 0.5000 0.5000

[7]
V8PH6 | Alexandria via LeMat-Bulk | GGA-PBE | relaxed; symmetry = R-3; calculated total energy = -6.75 eV per atom; total moment = 0.00 μB/f.u.
1.0
3.8000 2.1939 2.6684
-3.8000 2.1939 2.6684
0.0000 -4.3878 2.6684
V P H
8 1 6
Direct
0.0536 0.3975 0.7148
0.1796 0.1796 0.1796
0.2852 0.9464 0.6025
0.3975 0.7148 0.0536
0.6025 0.2852 0.9464
0.7148 0.0536 0.3975
0.8204 0.8204 0.8204
0.9464 0.6025 0.2852
0.5000 0.5000 0.5000
0.1394 0.7334 0.8109
0.1891 0.8606 0.2666
0.2666 0.1891 0.8606
0.7334 0.8109 0.1394
0.8109 0.1394 0.7334
0.8606 0.2666 0.1891

[8]
Ca2PtBr8 | Alexandria via LeMat-Bulk | GGA-PBE | relaxed; symmetry = C2/m; calculated total energy = -3.28 eV per atom; formation energy (no corrections) = -1153 meV/atom; total moment = 0.00 μB/f.u.
1.0
7.3727 -3.4211 0.0000
7.3727 3.4211 0.0000
-0.1053 0.0000 7.2449
Ca Pt Br
2 1 8
Direct
0.1341 0.1341 0.0407
0.8659 0.8659 0.9593
0.0000 0.0000 0.5000
0.1671 0.1671 0.4354
0.2171 0.7303 0.2468
0.2697 0.7829 0.7532
0.3137 0.3137 0.9389
0.6863 0.6863 0.0611
0.7303 0.2171 0.2468
0.7829 0.2697 0.7532
0.8329 0.8329 0.5646

[9]
Rb2RhCl | Alexandria via LeMat-Bulk | GGA-PBE | relaxed; symmetry = Fm-3m; calculated total energy = -2.80 eV per atom; relative energy among the computed polymorphs = 0.0097 eV/atom; formation energy (no corrections) = -12 meV/atom; total moment = 2.00 μB/f.u.
1.0
8.2439 0.0000 0.0000
0.0000 8.2439 0.0000
0.0000 0.0000 8.2439
Rb Rh Cl
8 4 4
Direct
0.2500 0.2500 0.2500
0.2500 0.2500 0.7500
0.2500 0.7500 0.2500
0.2500 0.7500 0.7500
0.7500 0.2500 0.2500
0.7500 0.2500 0.7500
0.7500 0.7500 0.2500
0.7500 0.7500 0.7500
0.0000 0.0000 0.0000
0.0000 0.5000 0.5000
0.5000 0.0000 0.5000
0.5000 0.5000 0.0000
0.0000 0.0000 0.5000
0.0000 0.5000 0.0000
0.5000 0.0000 0.0000
0.5000 0.5000 0.5000

[10]
LiNb5Ru6 | Alexandria via LeMat-Bulk | GGA-PBE | relaxed; symmetry = Immm; calculated total energy = -9.24 eV per atom; energy relative to the elements = -0.244 eV per atom; total moment = 0.00 μB/f.u.
1.0
-2.2250 3.1621 6.6484
2.2250 -3.1621 6.6484
2.2250 3.1621 -6.6484
Li Nb Ru
1 5 6
Direct
0.0000 0.0000 0.0000
0.1634 0.6634 0.5000
0.3391 0.3391 0.0000
0.5000 0.0000 0.5000
0.6609 0.6609 0.0000
0.8366 0.3366 0.5000
0.0783 0.8315 0.2467
0.2429 0.5000 0.7429
0.4152 0.1685 0.2467
0.5848 0.8315 0.7533
0.7571 0.5000 0.2571
0.9217 0.1685 0.7533

[11]
MgAl2As | Alexandria via LeMat-Bulk | GGA-PBE | relaxed; symmetry = Pmmm; calculated total energy = -3.37 eV per atom; energy relative to the elements = 0.065 eV per atom; relative energy among the computed polymorphs = 0.1342 eV/atom; total moment = 0.00 μB/f.u.
1.0
2.9675 0.0000 0.0000
0.0000 4.4363 0.0000
0.0000 0.0000 5.6324
Mg Al As
1 2 1
Direct
0.0000 0.0000 0.0000
0.5000 0.5000 0.2532
0.5000 0.5000 0.7468
0.0000 0.0000 0.5000

[12]
BaPt | Alexandria via LeMat-Bulk | GGA-PBE | relaxed; symmetry = P6_3/mmc; calculated total energy = -4.55 eV per atom; energy relative to the elements = -0.568 eV per atom; total moment = 0.00 μB/f.u.
1.0
9.6552 0.0000 0.0000
-4.8276 8.3617 0.0000
0.0000 0.0000 4.8601
Ba Pt
6 6
Direct
0.1945 0.3890 0.2500
0.1945 0.8055 0.2500
0.3890 0.1945 0.7500
0.6110 0.8055 0.2500
0.8055 0.1945 0.7500
0.8055 0.6110 0.7500
0.1380 0.5690 0.7500
0.4310 0.5690 0.7500
0.4310 0.8620 0.7500
0.5690 0.1380 0.2500
0.5690 0.4310 0.2500
0.8620 0.4310 0.2500

Question: What is the formula in the twelfth record?
Answer: BaPt

Question: total moment of number 2 (Pm3Al2Fe3C)?
Answer: 7.01 μB/f.u.

Question: The lowest calculated total energy belongs to which entry?
Answer: LiNb5Ru6